Sr5H4N | PBE | relaxed

The structure in POSCAR format:
```
Sr5H4N
1.0
-4.849 4.849 2.509
4.849 -4.849 2.509
4.849 4.849 -2.509
Sr H N
5 4 1
Direct
0.000 0.000 0.000 Sr
0.236 0.417 0.653 Sr
0.417 0.764 0.181 Sr
0.583 0.236 0.819 Sr
0.764 0.583 0.347 Sr
0.165 0.797 0.962 H
0.203 0.165 0.368 H
0.797 0.835 0.632 H
0.835 0.203 0.038 H
0.500 0.500 0.000 N
```

Values from the calculation:
Space group = I4/m (87)
Total energy = -3.39 eV per atom

=====

SrH3N | PBE | relaxed

The structure in POSCAR format:
```
SrH3N
1.0
3.581 0.000 0.000
0.000 3.581 0.000
0.000 0.000 3.581
Sr H N
1 3 1
Direct
0.000 0.000 0.000 Sr
0.000 0.500 0.500 H
0.500 0.000 0.500 H
0.500 0.500 0.000 H
0.500 0.500 0.500 N
```

Values from the calculation:
Space group = Pm-3m (221)
Total energy = -3.47 eV per atom

=====

Please write out number 1 again, unchanged.
Sr5H4N | PBE | relaxed

The structure in POSCAR format:
```
Sr5H4N
1.0
-4.849 4.849 2.509
4.849 -4.849 2.509
4.849 4.849 -2.509
Sr H N
5 4 1
Direct
0.000 0.000 0.000 Sr
0.236 0.417 0.653 Sr
0.417 0.764 0.181 Sr
0.583 0.236 0.819 Sr
0.764 0.583 0.347 Sr
0.165 0.797 0.962 H
0.203 0.165 0.368 H
0.797 0.835 0.632 H
0.835 0.203 0.038 H
0.500 0.500 0.000 N
```

Values from the calculation:
Space group = I4/m (87)
Total energy = -3.39 eV per atom

=====

> What is the total energy in the first record?

-3.39 eV per atom